This record from Alexandria describes a relaxed NiI2NO crystal. The functional is GGA+U.

Final energy, eV/atom: -2.590

extended XYZ file:
```
5
Lattice="-0.955 5.430 -2.792 -6.073 -0.554 1.001 0.342 1.576 2.948" Properties=species:S:1:pos:R:3 pbc="T T T"
I -3.036 -0.277 0.501
I -0.478 2.715 -1.396
Ni 0.000 0.000 0.000
N -3.343 3.226 0.579
O 0.171 0.788 1.474
```